Here is a relaxed Ce2DySi3Rh4 crystal from Alexandria via LeMat-Bulk. Energies are from GGA-PBE.

a b c (Å): 4.1172 4.1172 10.9923
angles (deg): 90.00 90.00 90.00
Closest atoms and distances in Å follow each position.
Space group P-4m2 (No. 115)
One atom of each set of equivalent atoms:
Ce 0.0000 0.5000 0.2324  8 Rh 3.12-3.28, 4 Si 3.18
Dy 0.0000 0.0000 0.5000  4 Rh 2.75, 4 Si 2.91
Si 0.0000 0.5000 0.8833  5 Rh 2.40-2.43
Si 0.5000 0.5000 0.5000  4 Rh 2.75, 4 Dy 2.91
Rh 0.0000 0.0000 0.0000  4 Si 2.43
Rh 0.0000 0.5000 0.6652  1 Si 2.40
Rh 0.5000 0.5000 0.0000  4 Si 2.43

Output
E_tot (eV/atom): -7.17
Formation energy without anion corrections (eV per atom): -0.954
ρ (kg/m3): 8365



Here is a relaxed U2MoOs crystal from Alexandria via LeMat-Bulk. Energies are from GGA-PBE.

a b c (Å): 6.7784 6.7784 6.7784
angles (deg): 90.00 90.00 90.00
Closest atoms and distances in Å follow each position.
Space group Fm-3m (No. 225)
One atom of each set of equivalent atoms:
U 0.2500 0.2500 0.2500  4 Mo 2.94, 4 Os 2.94
Mo 0.0000 0.0000 0.0000  8 U 2.94
Os 0.0000 0.0000 0.5000  8 U 2.94

Output
Energy above the lowest structure with this stoichiometry (meV/atom): 0
Energy relative to the elements (meV per atom): 189
E_tot (eV/atom): -10.97
ρ (kg/m3): 16256



Please write out number 2 again, unchanged.
Here is a relaxed U2MoOs crystal from Alexandria via LeMat-Bulk. Energies are from GGA-PBE.

a b c (Å): 6.7784 6.7784 6.7784
angles (deg): 90.00 90.00 90.00
Closest atoms and distances in Å follow each position.
Space group Fm-3m (No. 225)
One atom of each set of equivalent atoms:
U 0.2500 0.2500 0.2500  4 Mo 2.94, 4 Os 2.94
Mo 0.0000 0.0000 0.0000  8 U 2.94
Os 0.0000 0.0000 0.5000  8 U 2.94

Output
Energy above the lowest structure with this stoichiometry (meV/atom): 0
Energy relative to the elements (meV per atom): 189
E_tot (eV/atom): -10.97
ρ (kg/m3): 16256